Here is an optimized crystal structure of MgAlSi2Pt from Alexandria. Energies are from PBE-GGA.

Properties
Its spin magnetization is 0.00 μB per atom. The calculation puts the uncorrected formation energy at 0.28 eV per atom. The density of states at the Fermi level is 3.15 states/eV/cell. The calculation puts the final energy at -20.8 eV for the cell shown.

a b c (Å): 4.7623 4.7623 4.8113
angles (deg): 90.00 90.00 90.00
Space group P4/mmm (No. 123)
Unique sites:
Mg: 0.0000 0.0000 0.0000
Al: 0.5000 0.5000 0.0000
Si: 0.0000 0.5000 0.5000
Pt: 0.5000 0.5000 0.5000